Here is Sm2Be4IrPt3 after structural relaxation from Alexandria. Energies are from PBE.

a = 4.0629 Å, b = 4.0629 Å, c = 9.4945 Å
α = 90.00°, β = 90.00°, γ = 90.00°
Atoms (fractional coordinates):
Be1 0.0000 0.5000 0.3797
Be2 0.5000 0.0000 0.6203
Be3 0.5000 0.5000 0.0000
Be4 0.0000 0.0000 0.0000
Sm1 0.0000 0.5000 0.7460
Sm2 0.5000 0.0000 0.2540
Pt1 0.0000 0.0000 0.5000
Pt2 0.5000 0.0000 0.8769
Pt3 0.0000 0.5000 0.1231
Ir1 0.5000 0.5000 0.5000

* total energy: -5.9685 eV/atom
* formation energy: -0.8358 eV per atom



Here is BeSn2IrPt after structural relaxation from Alexandria. Energies are from PBE.

a = 5.0863 Å, b = 4.1544 Å, c = 5.0863 Å
α = 90.00°, β = 90.00°, γ = 90.00°
Atoms (fractional coordinates):
Ir1 0.5000 0.5000 0.5000
Sn1 0.5000 0.0000 0.0000
Sn2 0.0000 0.0000 0.5000
Be1 0.0000 0.5000 0.0000
Pt1 0.0000 0.0000 0.0000

* total energy: -4.7435 eV/atom
* formation energy: 0.5832 eV per atom



Here is TbBe4IrPt2 after structural relaxation from Alexandria. Energies are from PBE.

a = 3.9383 Å, b = 3.9383 Å, c = 8.4121 Å
α = 76.46°, β = 76.46°, γ = 60.00°
Atoms (fractional coordinates):
Be1 0.1355 0.1355 0.5934
Be2 0.8645 0.8645 0.4066
Be3 0.4085 0.4085 0.7746
Be4 0.5915 0.5915 0.2254
Pt1 0.2428 0.2428 0.2715
Pt2 0.7572 0.7572 0.7285
Tb1 0.0000 0.0000 0.0000
Ir1 0.5000 0.5000 0.5000

* total energy: -5.7601 eV/atom
* formation energy: -0.7004 eV per atom



Here is BeTc2IrPt after structural relaxation from Alexandria. Energies are from PBE.

a = 4.6948 Å, b = 4.0854 Å, c = 4.6948 Å
α = 90.00°, β = 90.00°, γ = 90.00°
Atoms (fractional coordinates):
Be1 0.0000 0.5000 0.0000
Pt1 0.5000 0.5000 0.5000
Ir1 0.0000 0.0000 0.0000
Tc1 0.0000 0.0000 0.5000
Tc2 0.5000 0.0000 0.0000

* total energy: -6.5994 eV/atom
* formation energy: 1.2726 eV per atom



Here is ThBe4Ir2Pt after structural relaxation from Alexandria. Energies are from PBE.

a = 3.9591 Å, b = 3.9591 Å, c = 8.5788 Å
α = 76.66°, β = 76.66°, γ = 60.00°
Atoms (fractional coordinates):
Be1 0.8688 0.8688 0.3935
Be2 0.4103 0.4103 0.7690
Be3 0.1312 0.1312 0.6065
Be4 0.5897 0.5897 0.2310
Ir1 0.2405 0.2405 0.2784
Ir2 0.7595 0.7595 0.7216
Pt1 0.5000 0.5000 0.5000
Th1 0.0000 0.0000 0.0000

* total energy: -6.3198 eV/atom
* formation energy: -0.5589 eV per atom



Here is Th2Be4IrPt3 after structural relaxation from Alexandria. Energies are from PBE.

a = 4.0884 Å, b = 4.0884 Å, c = 9.6174 Å
α = 90.00°, β = 90.00°, γ = 90.00°
Atoms (fractional coordinates):
Be1 0.0000 0.0000 0.0000
Be2 0.5000 0.0000 0.6188
Be3 0.0000 0.5000 0.3812
Be4 0.5000 0.5000 0.0000
Ir1 0.5000 0.5000 0.5000
Th1 0.0000 0.5000 0.7473
Th2 0.5000 0.0000 0.2527
Pt1 0.0000 0.5000 0.1262
Pt2 0.5000 0.0000 0.8738
Pt3 0.0000 0.0000 0.5000

* total energy: -6.5267 eV/atom
* formation energy: -0.8539 eV per atom



Please write out number 4 again, unchanged.
Here is BeTc2IrPt after structural relaxation from Alexandria. Energies are from PBE.

a = 4.6948 Å, b = 4.0854 Å, c = 4.6948 Å
α = 90.00°, β = 90.00°, γ = 90.00°
Atoms (fractional coordinates):
Be1 0.0000 0.5000 0.0000
Pt1 0.5000 0.5000 0.5000
Ir1 0.0000 0.0000 0.0000
Tc1 0.0000 0.0000 0.5000
Tc2 0.5000 0.0000 0.0000

* total energy: -6.5994 eV/atom
* formation energy: 1.2726 eV per atom